#1
Compound: Si3PbW
Source: the Alexandria database
Functional: PBE-GGA
Structure: optimized geometry

a = 5.0275 Å, b = 5.0275 Å, c = 5.0275 Å
α = 90.00°, β = 90.00°, γ = 90.00°
With the nearest neighbours (Å) after each atom.
Positions (direct):
Pb 0.0000 0.0000 0.0000  6 Si 2.51
W 0.5000 0.5000 0.5000  12 Si 3.55
Si 0.0000 0.0000 0.5000  2 Pb 2.51
Si 0.5000 0.0000 0.0000  2 Pb 2.51
Si 0.0000 0.5000 0.0000  2 Pb 2.51

Summary:
Magnetization = 0.0 μB per formula unit
Crystal system = cubic

#2
Compound: Si3PbW
Source: the Alexandria database
Functional: PBE-GGA
Structure: optimized geometry

a = 4.8374 Å, b = 4.8374 Å, c = 4.8374 Å
α = 90.00°, β = 90.00°, γ = 90.00°
With the nearest neighbours (Å) after each atom.
Positions (direct):
Pb 0.5000 0.5000 0.5000  12 Si 3.42
Si 0.0000 0.5000 0.0000  2 W 2.42
Si 0.5000 0.0000 0.0000  2 W 2.42
Si 0.0000 0.0000 0.5000  2 W 2.42
W 0.0000 0.0000 0.0000  6 Si 2.42

Summary:
Magnetization = 0.0 μB per formula unit
Crystal system = cubic

Winner for stability: #2

#1
Compound: Y2SiPb
Source: the Alexandria database
Functional: PBE-GGA
Structure: optimized geometry

a = 4.1389 Å, b = 4.4229 Å, c = 6.0078 Å
α = 68.37°, β = 90.00°, γ = 90.00°
With the nearest neighbours (Å) after each atom.
Positions (direct):
Si 0.5000 0.5304 0.8151  2 Pb 2.89, 5 Y 2.92-3.06
Y 0.0000 0.9911 0.8929  4 Si 3.06, 3 Pb 3.14-3.30
Y 0.5000 0.2686 0.3373  1 Si 2.92, 4 Pb 3.10
Pb 0.0000 0.7098 0.4547  2 Si 2.89, 5 Y 3.10-3.14

Summary:
Magnetization = 0.0 μB per formula unit
Crystal system = orthorhombic

#2
Compound: Y2SiPb
Source: the Alexandria database
Functional: PBE-GGA
Structure: optimized geometry

a = 8.0249 Å, b = 8.0249 Å, c = 6.6270 Å
α = 52.74°, β = 52.74°, γ = 90.00°
With the nearest neighbours (Å) after each atom.
Positions (direct):
Pb 0.7500 0.2500 0.5000  4 Y 3.13, 2 Si 3.42
Pb 0.0000 0.0000 0.0000  4 Y 3.13, 2 Si 3.42
Y 0.8750 0.8460 0.7500  2 Si 2.81, 2 Pb 3.13
Y 0.5960 0.1250 0.2500  2 Si 2.81, 2 Pb 3.13
Y 0.1540 0.6250 0.2500  2 Si 2.81, 2 Pb 3.13
Y 0.3750 0.4040 0.7500  2 Si 2.81, 2 Pb 3.13
Si 0.5000 0.5000 0.0000  4 Y 2.81
Si 0.2500 0.7500 0.5000  4 Y 2.81

Summary:
Magnetization = 0.0 μB per formula unit
Crystal system = tetragonal

Winner for stability: #1

#1
Compound: Y2SiPb
Source: the Alexandria database
Functional: PBE-GGA
Structure: optimized geometry

a = 3.8187 Å, b = 3.8187 Å, c = 6.8979 Å
α = 90.00°, β = 90.00°, γ = 90.00°
With the nearest neighbours (Å) after each atom.
Positions (direct):
Pb 0.5000 0.5000 0.2500  8 Y 3.32, 2 Si 3.45
Y 0.0000 0.0000 0.9706  1 Y 3.04, 4 Si 3.10, 4 Pb 3.32
Y 0.0000 0.0000 0.5294  1 Y 3.04, 4 Si 3.10, 4 Pb 3.32
Si 0.5000 0.5000 0.7500  8 Y 3.10, 2 Pb 3.45

Summary:
Magnetization = 0.0 μB per formula unit
Crystal system = tetragonal

#2
Compound: Y2SiPb
Source: the Alexandria database
Functional: PBE-GGA
Structure: optimized geometry

a = 5.2645 Å, b = 5.2645 Å, c = 5.2645 Å
α = 60.00°, β = 60.00°, γ = 60.00°
With the nearest neighbours (Å) after each atom.
Positions (direct):
Pb 0.5000 0.5000 0.5000  4 Y 3.22, 4 Si 3.22
Y 0.0000 0.0000 0.0000  4 Si 3.22, 4 Y 3.22
Y 0.2500 0.2500 0.2500  4 Y 3.22, 4 Pb 3.22
Si 0.7500 0.7500 0.7500  4 Y 3.22, 4 Pb 3.22

Summary:
Magnetization = 0.0 μB per formula unit
Crystal system = cubic

Winner for stability: #1

#1
Compound: Y2SiPb
Source: the Alexandria database
Functional: PBE-GGA
Structure: optimized geometry

a = 3.4010 Å, b = 3.4010 Å, c = 8.6190 Å
α = 90.00°, β = 90.00°, γ = 90.03°
With the nearest neighbours (Å) after each atom.
Positions (direct):
Pb 0.5000 0.5000 0.2500  4 Pb 3.40, 8 Y 3.44
Y 0.0000 0.0000 0.9653  4 Si 3.04, 4 Y 3.40
Y 0.0000 0.0000 0.5347  4 Si 3.04, 4 Y 3.40
Si 0.5000 0.5000 0.7500  8 Y 3.04, 4 Si 3.40

Summary:
Magnetization = 0.0 μB per formula unit
Crystal system = tetragonal

#2
Compound: Y2SiPb
Source: the Alexandria database
Functional: PBE-GGA
Structure: optimized geometry

a = 8.5103 Å, b = 8.5103 Å, c = 8.5103 Å
α = 26.95°, β = 26.95°, γ = 26.95°
With the nearest neighbours (Å) after each atom.
Positions (direct):
Y 0.0141 0.0141 0.0141  3 Si 2.85
Y 0.4859 0.4859 0.4859  3 Si 2.85
Si 0.7500 0.7500 0.7500  6 Y 2.85
Pb 0.2500 0.2500 0.2500  6 Y 3.31

Summary:
Magnetization = 0.0 μB per formula unit
Crystal system = trigonal

#3
Compound: Y2SiPb
Source: the Alexandria database
Functional: PBE-GGA
Structure: optimized geometry

a = 5.4780 Å, b = 5.4780 Å, c = 5.4780 Å
α = 131.34°, β = 121.30°, γ = 79.62°
With the nearest neighbours (Å) after each atom.
Positions (direct):
Pb 0.7500 0.2500 0.5000  8 Y 3.18-3.33, 4 Si 3.51
Y 0.0168 0.0168 0.0000  2 Si 2.99, 4 Pb 3.18-3.33
Y 0.4832 0.4832 0.0000  2 Si 2.99, 4 Pb 3.18-3.33
Si 0.2500 0.7500 0.5000  4 Y 2.99

Summary:
Magnetization = 0.0 μB per formula unit
Crystal system = orthorhombic

Winner for stability: #2

#1
Compound: YSi2Pb2
Source: the Alexandria database
Functional: PBE-GGA
Structure: optimized geometry

a = 7.4371 Å, b = 7.4371 Å, c = 4.4606 Å
α = 90.00°, β = 90.00°, γ = 90.00°
With the nearest neighbours (Å) after each atom.
Positions (direct):
Y 0.5000 0.5000 0.0000  4 Si 3.00
Y 0.0000 0.0000 0.0000  4 Si 3.00
Pb 0.6802 0.8198 0.5000  6 Si 3.11-3.16
Pb 0.8198 0.3198 0.5000  6 Si 3.11-3.16
Pb 0.1802 0.6802 0.5000  6 Si 3.11-3.16
Pb 0.3198 0.1802 0.5000  6 Si 3.11-3.16
Si 0.3865 0.8865 0.0000  1 Si 2.39
Si 0.8865 0.6135 0.0000  1 Si 2.39
Si 0.1135 0.3865 0.0000  1 Si 2.39
Si 0.6135 0.1135 0.0000  1 Si 2.39

Summary:
Magnetization = 0.0 μB per formula unit
Crystal system = tetragonal

#2
Compound: YSi2Pb2
Source: the Alexandria database
Functional: PBE-GGA
Structure: optimized geometry

a = 4.3432 Å, b = 4.3432 Å, c = 7.6067 Å
α = 73.41°, β = 73.41°, γ = 90.00°
With the nearest neighbours (Å) after each atom.
Positions (direct):
Pb 0.7500 0.2500 0.5000  4 Pb 3.07, 4 Si 3.20
Pb 0.2500 0.7500 0.5000  4 Pb 3.07, 4 Si 3.20
Si 0.4185 0.4185 0.1631  1 Si 2.27
Si 0.5815 0.5815 0.8369  1 Si 2.27
Y 0.0000 0.0000 0.0000  8 Si 3.27

Summary:
Magnetization = 0.0 μB per formula unit
Crystal system = tetragonal

Winner for stability: #1

#1
Compound: Zn2SiPb
Source: the Alexandria database
Functional: PBE-GGA
Structure: optimized geometry

a = 4.3287 Å, b = 4.6972 Å, c = 4.3732 Å
α = 84.22°, β = 90.00°, γ = 90.00°
With the nearest neighbours (Å) after each atom.
Positions (direct):
Zn 0.0000 0.9997 0.9326  2 Si 2.48, 2 Zn 2.60
Zn 0.5000 0.2337 0.1231  2 Si 2.44-2.51, 2 Zn 2.60
Pb 0.0000 0.5246 0.5003  5 Zn 2.95-3.17, 2 Si 3.15
Si 0.5000 0.7421 0.9439  4 Zn 2.44-2.51

Summary:
Magnetization = 0.0 μB per formula unit
Crystal system = monoclinic

#2
Compound: Zn2SiPb
Source: the Alexandria database
Functional: PBE-GGA
Structure: optimized geometry

a = 4.0799 Å, b = 4.0799 Å, c = 6.1758 Å
α = 69.84°, β = 69.84°, γ = 62.09°
With the nearest neighbours (Å) after each atom.
Positions (direct):
Zn 0.9684 0.9684 0.0918  3 Si 2.53-2.55
Zn 0.5316 0.5316 0.4082  3 Si 2.53-2.55
Si 0.2500 0.2500 0.2500  6 Zn 2.53-2.55
Pb 0.7500 0.7500 0.7500  6 Zn 3.06-3.07

Summary:
Magnetization = 0.0 μB per formula unit
Crystal system = monoclinic

#3
Compound: Zn2SiPb
Source: the Alexandria database
Functional: PBE-GGA
Structure: optimized geometry

a = 3.4164 Å, b = 3.4164 Å, c = 6.9128 Å
α = 90.00°, β = 90.00°, γ = 94.24°
With the nearest neighbours (Å) after each atom.
Positions (direct):
Pb 0.5000 0.5000 0.2500  8 Zn 3.16-3.30, 4 Pb 3.42, 2 Si 3.46
Zn 0.0000 0.0000 0.5603  1 Zn 2.62, 4 Si 2.67-2.83
Zn 0.0000 0.0000 0.9397  1 Zn 2.62, 4 Si 2.67-2.83
Si 0.5000 0.5000 0.7500  8 Zn 2.67-2.83

Summary:
Magnetization = 0.0 μB per formula unit
Crystal system = orthorhombic

#4
Compound: Zn2SiPb
Source: the Alexandria database
Functional: PBE-GGA
Structure: optimized geometry

a = 5.6972 Å, b = 5.6972 Å, c = 5.6972 Å
α = 146.34°, β = 126.16°, γ = 65.02°
With the nearest neighbours (Å) after each atom.
Positions (direct):
Zn 0.9935 0.9935 0.0000  2 Si 2.63, 2 Zn 2.74
Zn 0.2209 0.7209 0.5000  2 Zn 2.74
Pb 0.5047 0.5047 0.0000  8 Zn 3.06-3.31, 4 Si 3.13-3.36, 2 Pb 3.30
Si 0.7809 0.2809 0.5000  2 Zn 2.63

Summary:
Magnetization = 0.0 μB per formula unit
Crystal system = orthorhombic

Winner for stability: #2